Entry 1:
Here is a geometry-optimized Ga2SiH6 structure from Alexandria via LeMat-Bulk. Energies are from PBE.

Output
Crystal system   cubic
VASP energy   -3.230 eV/atom

Structure (CIF):
```
data_Ga2SiH6
_chemical_formula_sum 'Ga8 Si4 H24'
_space_group_name_H-M_alt 'F m -3 m'
_space_group_IT_number 225
_space_group_name_Hall '-F 4 2 3'
_cell_length_a 7.265
_cell_length_b 7.265
_cell_length_c 7.265
_cell_angle_alpha 90.00
_cell_angle_beta 90.00
_cell_angle_gamma 90.00
loop_
_atom_site_label
_atom_site_type_symbol
_atom_site_fract_x
_atom_site_fract_y
_atom_site_fract_z
_atom_site_occupancy
Ga1 Ga 0.250 0.250 0.250 1
Si1 Si 0.000 0.000 0.000 1
H1 H 0.000 0.000 0.223 1
```

=====

Entry 2:
Here is a geometry-optimized PuU2In9 structure from Alexandria via LeMat-Bulk. Energies are from PBE.

Output
Crystal system   tetragonal
ΔE_f   -0.91 eV/f.u.

Structure (CIF):
```
data_PuU2In9
_chemical_formula_sum 'Pu1 U2 In9'
_space_group_name_H-M_alt 'P 4/m m m'
_space_group_IT_number 123
_space_group_name_Hall '-P 4 2'
_cell_length_a 4.646
_cell_length_b 4.646
_cell_length_c 13.922
_cell_angle_alpha 90.00
_cell_angle_beta 90.00
_cell_angle_gamma 90.00
loop_
_atom_site_label
_atom_site_type_symbol
_atom_site_fract_x
_atom_site_fract_y
_atom_site_fract_z
_atom_site_occupancy
Pu1 Pu 0.000 0.000 0.000 1
U1 U 0.000 0.000 0.334 1
In1 In 0.000 0.500 0.167 1
In2 In 0.000 0.500 0.500 1
In3 In 0.500 0.500 0.000 1
In4 In 0.500 0.500 0.333 1
```

=====

Entry 3:
Here is a geometry-optimized LiB2H structure from Alexandria via LeMat-Bulk. Energies are from PBE.

Output
Crystal system   cubic
VASP energy   -3.254 eV/atom

Structure (CIF):
```
data_LiB2H
_chemical_formula_sum 'Li4 B8 H4'
_space_group_name_H-M_alt 'F m -3 m'
_space_group_IT_number 225
_space_group_name_Hall '-F 4 2 3'
_cell_length_a 4.685
_cell_length_b 4.685
_cell_length_c 4.685
_cell_angle_alpha 90.00
_cell_angle_beta 90.00
_cell_angle_gamma 90.00
loop_
_atom_site_label
_atom_site_type_symbol
_atom_site_fract_x
_atom_site_fract_y
_atom_site_fract_z
_atom_site_occupancy
Li1 Li 0.000 0.000 0.000 1
B1 B 0.250 0.250 0.250 1
H1 H 0.000 0.000 0.500 1
```

=====

Entry 4:
Here is a geometry-optimized KCuP structure from Alexandria via LeMat-Bulk. Energies are from PBE.

Output
Crystal system   orthorhombic
ΔE_f   -0.29 eV/f.u.

Structure (CIF):
```
data_KCuP
_chemical_formula_sum 'K4 Cu4 P4'
_space_group_name_H-M_alt 'P n m a'
_space_group_IT_number 62
_cell_length_a 15.416
_cell_length_b 5.458
_cell_length_c 3.411
_cell_angle_alpha 90.00
_cell_angle_beta 90.00
_cell_angle_gamma 90.00
loop_
_space_group_symop_operation_xyz
'x,y,z'
'-x,-y,-z'
'-x+1/2,-y,z+1/2'
'x+1/2,y,-z+1/2'
'x+1/2,-y+1/2,-z+1/2'
'-x+1/2,y+1/2,z+1/2'
'-x,y+1/2,-z'
'x,-y+1/2,z'
loop_
_atom_site_label
_atom_site_type_symbol
_atom_site_fract_x
_atom_site_fract_y
_atom_site_fract_z
_atom_site_occupancy
K1 K 0.168 0.250 0.002 1
Cu1 Cu 0.000 0.000 0.500 1
P1 P 0.113 0.750 0.502 1
```

=====

Entry 5:
Here is a geometry-optimized TaRu2N structure from Alexandria via LeMat-Bulk. Energies are from PBE.

Output
Crystal system   tetragonal
Energy relative to the elements, uncorrected   1.220 eV/f.u.

Structure (CIF):
```
data_TaRu2N
_chemical_formula_sum 'Ta4 Ru8 N4'
_space_group_name_H-M_alt 'I -4 2 d'
_space_group_IT_number 122
_space_group_name_Hall 'I -4 2bw'
_cell_length_a 5.358
_cell_length_b 5.358
_cell_length_c 8.921
_cell_angle_alpha 90.00
_cell_angle_beta 90.00
_cell_angle_gamma 90.00
loop_
_atom_site_label
_atom_site_type_symbol
_atom_site_fract_x
_atom_site_fract_y
_atom_site_fract_z
_atom_site_occupancy
Ta1 Ta 0.000 0.000 0.000 1
Ru1 Ru 0.155 0.250 0.625 1
N1 N 0.000 0.000 0.500 1
```

=====

Entry 6:
Here is a geometry-optimized Pr2GaHg structure from Alexandria via LeMat-Bulk. Energies are from PBE.

Output
Crystal system   tetragonal
ΔE_f   -2.04 eV/f.u.

Structure (CIF):
```
data_Pr2GaHg
_chemical_formula_sum 'Pr2 Ga1 Hg1'
_space_group_name_H-M_alt 'P 4/m m m'
_space_group_IT_number 123
_space_group_name_Hall '-P 4 2'
_cell_length_a 3.718
_cell_length_b 3.718
_cell_length_c 7.897
_cell_angle_alpha 90.00
_cell_angle_beta 90.00
_cell_angle_gamma 90.00
loop_
_atom_site_label
_atom_site_type_symbol
_atom_site_fract_x
_atom_site_fract_y
_atom_site_fract_z
_atom_site_occupancy
Pr1 Pr 0.000 0.000 0.235 1
Ga1 Ga 0.500 0.500 0.000 1
Hg1 Hg 0.500 0.500 0.500 1
```